[1]
A relaxed structure of NdZnSiPt6. Source: the Alexandria database, functional PBE-GGA.

Unit cell a=7.9941 b=7.9941 c=7.9941 alpha=130.63 beta=110.13 gamma=90.27
Fractional positions:
1 Nd 0.4207 0.1707 0.2500
2 Nd 0.5793 0.8293 0.7500
3 Zn 0.0000 0.0000 0.5000
4 Zn 0.0000 0.5000 0.0000
5 Si 0.0000 0.5000 0.5000
6 Si 0.5000 0.5000 0.0000
7 Pt 0.1158 0.3559 0.2180
8 Pt 0.1158 0.8978 0.7598
9 Pt 0.1639 0.9139 0.2500
10 Pt 0.3257 0.5757 0.7500
11 Pt 0.3621 0.1022 0.7180
12 Pt 0.3621 0.6441 0.2598
13 Pt 0.6379 0.3559 0.7402
14 Pt 0.6379 0.8978 0.2820
15 Pt 0.6743 0.4243 0.2500
16 Pt 0.8361 0.0861 0.7500
17 Pt 0.8842 0.1022 0.2402
18 Pt 0.8842 0.6441 0.7820

Computed properties:
- E_form (uncorrected): -460 meV per atom
- Total magnetic moment: 0.000 μB/atom
- Volume: 344.75 Å³ per cell
- Space-group type: Imma
- Final energy: -0.42342 Ry/atom



[2]
A relaxed structure of Nd2ZnSi4Pt3. Source: the Alexandria database, functional PBE-GGA.

Unit cell a=4.2460 b=4.2460 c=10.0112 alpha=90.00 beta=90.00 gamma=90.00
Fractional positions:
1 Nd 0.0000 0.5000 0.2480
2 Nd 0.5000 0.0000 0.7520
3 Zn 0.0000 0.0000 0.5000
4 Si 0.0000 0.0000 0.0000
5 Si 0.0000 0.5000 0.6376
6 Si 0.5000 0.0000 0.3624
7 Si 0.5000 0.5000 0.0000
8 Pt 0.0000 0.5000 0.8806
9 Pt 0.5000 0.0000 0.1194
10 Pt 0.5000 0.5000 0.5000

Computed properties:
- E_form (uncorrected): -989 meV per atom
- Total magnetic moment: 0.000 μB/atom
- Volume: 180.48 Å³ per cell
- Space-group type: P-4m2
- Final energy: -0.44474 Ry/atom



[3]
A relaxed structure of Nd3SmPt2. Source: the Alexandria database, functional PBE-GGA.

Unit cell a=4.9150 b=9.1213 c=7.3723 alpha=90.00 beta=90.00 gamma=90.00
Fractional positions:
1 Nd 0.0000 0.0845 0.0000
2 Nd 0.0000 0.3380 0.3607
3 Nd 0.0000 0.6620 0.8607
4 Nd 0.0000 0.9155 0.5000
5 Nd 0.5000 0.1643 0.6499
6 Nd 0.5000 0.8357 0.1499
7 Sm 0.5000 0.4156 0.0108
8 Sm 0.5000 0.5844 0.5108
9 Pt 0.0000 0.3404 0.7658
10 Pt 0.0000 0.6596 0.2658
11 Pt 0.5000 0.1629 0.2459
12 Pt 0.5000 0.8371 0.7459

Computed properties:
- Formation enthalpy at 0 K: -0.82 eV per atom
- Total magnetic moment: 0.000 μB/atom
- Volume: 330.51 Å³ per cell
- Space-group type: Pmc2_1
- Final energy: -0.44115 Ry/atom



[4]
A relaxed structure of NdSmPt10. Source: the Alexandria database, functional PBE-GGA.

Unit cell a=4.4435 b=5.4215 c=9.3456 alpha=90.00 beta=90.00 gamma=90.00
Fractional positions:
1 Nd 0.0000 0.0000 0.0000
2 Sm 0.0000 0.5000 0.5000
3 Pt 0.0000 0.0000 0.3343
4 Pt 0.0000 0.0000 0.6657
5 Pt 0.0000 0.5000 0.1681
6 Pt 0.0000 0.5000 0.8319
7 Pt 0.5000 0.0000 0.5000
8 Pt 0.5000 0.2503 0.2507
9 Pt 0.5000 0.2503 0.7493
10 Pt 0.5000 0.5000 0.0000
11 Pt 0.5000 0.7497 0.2507
12 Pt 0.5000 0.7497 0.7493

Computed properties:
- Formation enthalpy at 0 K: -0.71 eV per atom
- Total magnetic moment: 0.000 μB/atom
- Volume: 225.14 Å³ per cell
- Space-group type: Pmmm
- Final energy: -0.48056 Ry/atom



[5]
A relaxed structure of Nd2SmPt. Source: the Alexandria database, functional PBE-GGA.

Unit cell a=11.0116 b=11.0116 c=11.0116 alpha=19.94 beta=19.94 gamma=19.94
Fractional positions:
1 Nd 0.1093 0.1093 0.1093
2 Nd 0.8907 0.8907 0.8907
3 Sm 0.0000 0.0000 0.0000
4 Pt 0.5000 0.5000 0.5000

Computed properties:
- Relative energy among the computed polymorphs: 379 meV/atom
- Formation enthalpy at 0 K: -0.25 eV per atom
- Total magnetic moment: 0.106 μB/atom
- Volume: 135.84 Å³ per cell
- Space-group type: R-3m
- Final energy: -0.39136 Ry/atom



[6]
A relaxed structure of Nd4Sm3Pt2. Source: the Alexandria database, functional PBE-GGA.

Unit cell a=8.7721 b=8.7721 c=9.3125 alpha=111.72 beta=111.72 gamma=25.36
Fractional positions:
1 Nd 0.1282 0.1282 0.3839
2 Nd 0.2701 0.2701 0.8411
3 Nd 0.7299 0.7299 0.1589
4 Nd 0.8718 0.8718 0.6161
5 Sm 0.4288 0.4288 0.3172
6 Sm 0.5000 0.5000 0.0000
7 Sm 0.5712 0.5712 0.6828
8 Pt 0.1185 0.1185 0.9383
9 Pt 0.8815 0.8815 0.0617

Computed properties:
- Formation enthalpy at 0 K: -0.50 eV per atom
- Total magnetic moment: 0.000 μB/atom
- Volume: 283.97 Å³ per cell
- Space-group type: C2/m
- Final energy: -0.40699 Ry/atom



[7]
A relaxed structure of Nd2Sm3Pt4. Source: the Alexandria database, functional PBE-GGA.

Unit cell a=7.7147 b=7.7487 c=8.0068 alpha=90.00 beta=108.58 gamma=90.00
Fractional positions:
1 Nd 0.2008 0.1789 0.0908
2 Nd 0.2008 0.3211 0.5908
3 Nd 0.7992 0.6789 0.4092
4 Nd 0.7992 0.8211 0.9092
5 Sm 0.2421 0.6661 0.2504
6 Sm 0.2421 0.8339 0.7504
7 Sm 0.5000 0.0000 0.5000
8 Sm 0.5000 0.5000 0.0000
9 Sm 0.7579 0.1661 0.2496
10 Sm 0.7579 0.3339 0.7496
11 Pt 0.0931 0.5323 0.8682
12 Pt 0.0931 0.9677 0.3682
13 Pt 0.4955 0.1317 0.8736
14 Pt 0.4955 0.3683 0.3736
15 Pt 0.5045 0.6317 0.6264
16 Pt 0.5045 0.8683 0.1264
17 Pt 0.9069 0.0323 0.6318
18 Pt 0.9069 0.4677 0.1318

Computed properties:
- Formation enthalpy at 0 K: -1.07 eV per atom
- Total magnetic moment: 0.000 μB/atom
- Volume: 453.70 Å³ per cell
- Space-group type: P2_1/c
- Final energy: -0.46917 Ry/atom



[8]
A relaxed structure of NdSm2Pt9. Source: the Alexandria database, functional PBE-GGA.

Unit cell a=9.4406 b=9.4406 c=9.4406 alpha=33.61 beta=33.61 gamma=33.61
Fractional positions:
1 Nd 0.0000 0.0000 0.0000
2 Sm 0.1394 0.1394 0.1394
3 Sm 0.8606 0.8606 0.8606
4 Pt 0.0809 0.5870 0.5870
5 Pt 0.3330 0.3330 0.3330
6 Pt 0.4130 0.4130 0.9191
7 Pt 0.4130 0.9191 0.4130
8 Pt 0.5000 0.5000 0.5000
9 Pt 0.5870 0.0809 0.5870
10 Pt 0.5870 0.5870 0.0809
11 Pt 0.6670 0.6670 0.6670
12 Pt 0.9191 0.4130 0.4130

Computed properties:
- Formation enthalpy at 0 K: -0.93 eV per atom
- Total magnetic moment: 0.000 μB/atom
- Volume: 229.69 Å³ per cell
- Space-group type: R-3m
- Final energy: -0.48871 Ry/atom